Density functional theory data (PBE with a Hubbard U) for a relaxed Fe2CuTeO6 crystal.

Values from the calculation:
SG   P2_1/c (14)
V   234.4 Å³ per cell
Spin magnetization   9.0 μB/f.u.
Total energy   -5.903 eV per atom

abc: 5.274 5.114 10.132
angles: 90.00 120.93 90.00
Fractional coordinates of all 20 atoms:
Fe 0.204 0.005 0.205
Fe 0.204 0.495 0.705
Fe 0.796 0.505 0.295
Fe 0.796 0.995 0.795
Cu 0.000 0.000 0.500
Cu 0.000 0.500 0.000
Te 0.500 0.000 0.000
Te 0.500 0.500 0.500
O 0.178 0.209 0.837
O 0.178 0.291 0.337
O 0.183 0.686 0.507
O 0.183 0.814 0.007
O 0.492 0.232 0.153
O 0.492 0.268 0.653
O 0.508 0.732 0.347
O 0.508 0.768 0.847
O 0.817 0.186 0.993
O 0.817 0.314 0.493
O 0.822 0.709 0.663
O 0.822 0.791 0.163